# 1
Material: BaNa2Cd2
Method: DFT, GGA-PBE
State: relaxed

E ... -1.37 eV/atom
Energy above the lowest structure with this stoichiometry ... 82 meV per atom
Energy relative to the elements ... -46 kJ/mol of formula units
V ... 318.3 Å³ per cell
D(E_F) ... 6.874 states/eV/cell

Cell: 9.2191 9.2191 3.7447 Å, 90.00 90.00 90.00°
With the nearest neighbours (Å) after each atom.
Sites, in units of the cell vectors:
Ba  0.0000  0.0000  0.0000  4 Na 3.68, 2 Ba 3.74, 8 Cd 3.87
Ba  0.5000  0.5000  0.0000  4 Na 3.68, 2 Ba 3.74, 8 Cd 3.87
Na  0.1184  0.3816  0.0000  1 Na 3.09, 6 Cd 3.23-3.37
Na  0.3816  0.8816  0.0000  1 Na 3.09, 6 Cd 3.23-3.37
Na  0.6184  0.1184  0.0000  1 Na 3.09, 6 Cd 3.23-3.37
Na  0.8816  0.6184  0.0000  1 Na 3.09, 6 Cd 3.23-3.37
Cd  0.1798  0.6798  0.5000  6 Na 3.23-3.37
Cd  0.3202  0.1798  0.5000  6 Na 3.23-3.37
Cd  0.6798  0.8202  0.5000  6 Na 3.23-3.37
Cd  0.8202  0.3202  0.5000  6 Na 3.23-3.37


# 2
Material: TbPmO4
Method: DFT, GGA-PBE
State: relaxed

E ... -7.79 eV/atom
Formation energy (no corrections) ... -2918 meV/atom
V ... 166.2 Å³ per cell
D(E_F) ... 0.000 states/eV/cell

Cell: 6.6620 3.9365 6.3959 Å, 90.00 97.74 90.00°
With the nearest neighbours (Å) after each atom.
Sites, in units of the cell vectors:
Tb  0.0000  0.0000  0.0000  7 O 2.28-2.49
Tb  0.5000  0.5000  0.0000  7 O 2.28-2.49
Pm  0.1088  0.5000  0.5401  7 O 2.32-2.55
Pm  0.6088  0.0000  0.5401  7 O 2.32-2.55
O  0.1554  0.5000  0.9194  3 Tb 2.28-2.31, 1 Pm 2.40
O  0.2233  0.0000  0.3332  1 O 1.51
O  0.3897  0.0000  0.1951  1 O 1.51
O  0.4568  0.5000  0.6346  3 Pm 2.32-2.33, 1 Tb 2.32
O  0.6554  0.0000  0.9194  3 Tb 2.28-2.31, 1 Pm 2.40
O  0.7233  0.5000  0.3332  1 O 1.51
O  0.8897  0.5000  0.1951  1 O 1.51
O  0.9568  0.0000  0.6346  3 Pm 2.32-2.33, 1 Tb 2.32


# 3
Material: Ti9N3O
Method: DFT, GGA-PBE
State: relaxed

E ... -8.92 eV/atom
Formation energy (no corrections) ... -1152 meV/atom
V ... 339.1 Å³ per cell
D(E_F) ... 18.715 states/eV/cell

Cell: 5.0661 7.8603 8.5372 Å, 90.00 94.09 90.00°
With the nearest neighbours (Å) after each atom.
Sites, in units of the cell vectors:
Ti  0.1488  0.2500  0.1923  1 O 2.07, 2 N 2.18
Ti  0.1700  0.5743  0.3655  2 N 2.04
Ti  0.1700  0.9257  0.3655  2 N 2.04
Ti  0.2261  0.2500  0.8511  2 N 2.19, 1 O 2.26
Ti  0.2418  0.5814  0.0332  2 N 2.01-2.02, 1 O 2.14
Ti  0.2418  0.9186  0.0332  2 N 2.01-2.02, 1 O 2.14
Ti  0.3203  0.2500  0.5150  2 N 2.17
Ti  0.3456  0.5771  0.7025  2 N 2.04
Ti  0.3456  0.9229  0.7025  2 N 2.04
Ti  0.6544  0.0771  0.2975  2 N 2.04
Ti  0.6544  0.4229  0.2975  2 N 2.04
Ti  0.6797  0.7500  0.4850  2 N 2.17
Ti  0.7582  0.0814  0.9668  2 N 2.01-2.02, 1 O 2.14
Ti  0.7582  0.4186  0.9668  2 N 2.01-2.02, 1 O 2.14
Ti  0.7739  0.7500  0.1489  2 N 2.19, 1 O 2.26
Ti  0.8300  0.0743  0.6345  2 N 2.04
Ti  0.8300  0.4257  0.6345  2 N 2.04
Ti  0.8512  0.7500  0.8077  1 O 2.07, 2 N 2.18
N  0.0451  0.5027  0.8330  6 Ti 2.01-2.19
N  0.0451  0.9973  0.8330  6 Ti 2.01-2.19
N  0.5000  0.0000  0.5000  6 Ti 2.04-2.17
N  0.5000  0.5000  0.5000  6 Ti 2.04-2.17
N  0.9549  0.0027  0.1670  6 Ti 2.01-2.19
N  0.9549  0.4973  0.1670  6 Ti 2.01-2.19
O  0.4932  0.2500  0.0754  4 Ti 2.07-2.26
O  0.5068  0.7500  0.9246  4 Ti 2.07-2.26